Below is an optimized crystal structure of MnZnNF2, with properties calculated at the PBE+U level.

```
data_MnZnNF2
_chemical_formula_sum 'Mn1 Zn1 N1 F2'
_space_group_name_H-M_alt 'P 1'
_space_group_IT_number 1
_cell_length_a 3.9593
_cell_length_b 3.9593
_cell_length_c 4.0467
_cell_angle_alpha 90.00
_cell_angle_beta 90.00
_cell_angle_gamma 90.00
loop_
_space_group_symop_operation_xyz
'x,y,z'
loop_
_atom_site_label
_atom_site_type_symbol
_atom_site_fract_x
_atom_site_fract_y
_atom_site_fract_z
Mn1 Mn 0.0000 0.0000 0.0000
Zn1 Zn 0.5000 0.5000 0.5000
N1 N 0.0000 0.0000 0.5000
F1 F 0.0000 0.5000 0.0000
F2 F 0.5000 0.0000 0.0000
```

Computed properties:
The value obtained for the offset from the most stable computed form is 0.00 kJ per mole of atoms.